A relaxed Ca2InHPd6 crystal. Source: Alexandria, functional GGA-PBE.

Summary:
- electronic total energy (eV per atom) = -4.65

CIF file:
```
data_Ca2InHPd6
_symmetry_space_group_name_H-M 'P 1'
_symmetry_Int_Tables_number 1
_symmetry_space_group_name_Hall 'P 1'
_cell_length_a 5.757
_cell_length_b 7.169
_cell_length_c 5.761
_cell_angle_alpha 66.01
_cell_angle_beta 60.10
_cell_angle_gamma 90.01
loop_
_atom_site_label
_atom_site_type_symbol
_atom_site_fract_x
_atom_site_fract_y
_atom_site_fract_z
Ca1 Ca 0.228 0.687 0.545
Pd1 Pd 0.225 0.171 0.547
In1 In 0.500 0.500 0.000
Pd2 Pd 0.775 0.829 0.453
Pd3 Pd 0.227 0.177 0.044
Pd4 Pd 0.275 0.825 0.954
Pd5 Pd 0.725 0.175 0.046
H1 H 0.000 0.000 0.000
Ca2 Ca 0.772 0.313 0.455
Pd6 Pd 0.773 0.823 0.956
```

***

A relaxed CaInHPd2 crystal. Source: Alexandria, functional GGA-PBE.

Summary:
- electronic total energy (eV per atom) = -4.07

CIF file:
```
data_CaInHPd2
_symmetry_space_group_name_H-M 'P 1'
_symmetry_Int_Tables_number 1
_symmetry_space_group_name_Hall 'P 1'
_cell_length_a 4.304
_cell_length_b 4.304
_cell_length_c 4.355
_cell_angle_alpha 90.00
_cell_angle_beta 90.00
_cell_angle_gamma 90.00
loop_
_atom_site_label
_atom_site_type_symbol
_atom_site_fract_x
_atom_site_fract_y
_atom_site_fract_z
H1 H 0.000 0.000 0.000
In1 In 0.500 0.500 0.500
Pd1 Pd 0.500 0.000 0.000
Pd2 Pd 0.000 0.500 0.000
Ca1 Ca 0.000 0.000 0.500
```

***

A relaxed CaInH2Pd crystal. Source: Alexandria, functional GGA-PBE.

Summary:
- electronic total energy (eV per atom) = -3.00

CIF file:
```
data_CaInH2Pd
_symmetry_space_group_name_H-M 'P 1'
_symmetry_Int_Tables_number 1
_symmetry_space_group_name_Hall 'P 1'
_cell_length_a 4.159
_cell_length_b 5.311
_cell_length_c 4.159
_cell_angle_alpha 90.00
_cell_angle_beta 90.00
_cell_angle_gamma 90.00
loop_
_atom_site_label
_atom_site_type_symbol
_atom_site_fract_x
_atom_site_fract_y
_atom_site_fract_z
Pd1 Pd 0.000 0.000 0.000
H1 H 0.500 0.000 0.000
H2 H 0.000 0.000 0.500
In1 In 0.500 0.500 0.500
Ca1 Ca 0.000 0.500 0.000
```

***

A relaxed Ca2InHPd crystal. Source: Alexandria, functional GGA-PBE.

Summary:
- electronic total energy (eV per atom) = -3.56

CIF file:
```
data_Ca2InHPd
_symmetry_space_group_name_H-M 'P 1'
_symmetry_Int_Tables_number 1
_symmetry_space_group_name_Hall 'P 1'
_cell_length_a 5.184
_cell_length_b 5.184
_cell_length_c 3.791
_cell_angle_alpha 90.00
_cell_angle_beta 90.00
_cell_angle_gamma 90.00
loop_
_atom_site_label
_atom_site_type_symbol
_atom_site_fract_x
_atom_site_fract_y
_atom_site_fract_z
H1 H 0.000 0.000 0.000
Pd1 Pd 0.000 0.000 0.500
Ca1 Ca 0.000 0.500 0.000
Ca2 Ca 0.500 0.000 0.000
In1 In 0.500 0.500 0.500
```

***

A relaxed Ca2InHPt crystal. Source: Alexandria, functional GGA-PBE.

Summary:
- electronic total energy (eV per atom) = -3.80

CIF file:
```
data_Ca2InHPt
_symmetry_space_group_name_H-M 'P 1'
_symmetry_Int_Tables_number 1
_symmetry_space_group_name_Hall 'P 1'
_cell_length_a 5.235
_cell_length_b 5.235
_cell_length_c 3.680
_cell_angle_alpha 90.00
_cell_angle_beta 90.00
_cell_angle_gamma 90.00
loop_
_atom_site_label
_atom_site_type_symbol
_atom_site_fract_x
_atom_site_fract_y
_atom_site_fract_z
Pt1 Pt 0.000 0.000 0.500
In1 In 0.500 0.500 0.500
Ca1 Ca 0.000 0.500 0.000
H1 H 0.000 0.000 0.000
Ca2 Ca 0.500 0.000 0.000
```

***

A relaxed CaInHRh2 crystal. Source: Alexandria, functional GGA-PBE.

Summary:
- electronic total energy (eV per atom) = -4.88

CIF file:
```
data_CaInHRh2
_symmetry_space_group_name_H-M 'P 1'
_symmetry_Int_Tables_number 1
_symmetry_space_group_name_Hall 'P 1'
_cell_length_a 4.251
_cell_length_b 4.251
_cell_length_c 4.120
_cell_angle_alpha 90.00
_cell_angle_beta 90.00
_cell_angle_gamma 90.00
loop_
_atom_site_label
_atom_site_type_symbol
_atom_site_fract_x
_atom_site_fract_y
_atom_site_fract_z
Rh1 Rh 0.500 0.000 0.000
Ca1 Ca 0.000 0.000 0.500
H1 H 0.000 0.000 0.000
Rh2 Rh 0.000 0.500 0.000
In1 In 0.500 0.500 0.500
```

***

Which of these has the highest electronic total energy?
CaInH2Pd

***

Among the records above, which one has the lowest electronic total energy?
CaInHRh2